! KInCu2B (GGA-PBE, optimized geometry); values from VASP
&SYSTEM
  ibrav = 0, nat = 5, ntyp = 4
/
ATOMIC_SPECIES
Cu 63.55 Cu.upf
K 39.10 K.upf
In 114.82 In.upf
B 10.81 B.upf
CELL_PARAMETERS angstrom
-0.971 3.975 3.232
-4.490 0.699 -2.209
-2.185 -3.297 3.398
ATOMIC_POSITIONS angstrom
Cu -0.486 1.987 1.616
Cu -1.092 -1.648 1.699
K 0.000 0.000 0.000
In -3.823 0.689 2.210
B -2.245 0.350 -1.105
! - formation enthalpy at 0 K (eV/atom) = 1.960
! - DFT total energy (eV/atom) = -1.782

=====

! K2ZnSi (GGA-PBE, optimized geometry); values from VASP
&SYSTEM
  ibrav = 0, nat = 4, ntyp = 3
/
ATOMIC_SPECIES
K 39.10 K.upf
Zn 65.41 Zn.upf
Si 28.09 Si.upf
CELL_PARAMETERS angstrom
-0.105 -3.822 0.021
3.664 -1.074 -0.217
0.605 0.039 10.004
ATOMIC_POSITIONS angstrom
K 0.560 0.036 9.260
K 1.979 -2.435 3.209
Zn 2.176 -2.422 6.459
Si 0.356 0.023 5.886
! - E_form (uncorrected) (eV per atom) = 0.25
! - DFT total energy (eV/atom) = -1.973

=====

! Tb2Dy2AlGa4 (GGA-PBE, optimized geometry); values from VASP
&SYSTEM
  ibrav = 0, nat = 9, ntyp = 4
/
ATOMIC_SPECIES
Dy 162.50 Dy.upf
Tb 158.93 Tb.upf
Ga 69.72 Ga.upf
Al 26.98 Al.upf
CELL_PARAMETERS angstrom
6.623 0.129 0.187
-3.066 5.873 -0.187
-3.066 -2.238 5.433
ATOMIC_POSITIONS angstrom
Dy 0.246 -0.146 4.121
Dy 0.246 3.910 1.311
Tb -4.216 2.499 3.607
Tb -1.915 1.135 1.638
Ga -3.066 3.845 1.218
Ga 1.779 0.973 1.405
Ga -3.066 -0.211 4.028
Ga -1.287 2.791 4.028
Al 0.000 0.000 0.000
! - formation enthalpy at 0 K (eV/atom) = -0.247
! - DFT total energy (eV/atom) = -4.060

=====

! Sb2MoRu (GGA-PBE, optimized geometry); values from VASP
&SYSTEM
  ibrav = 0, nat = 4, ntyp = 3
/
ATOMIC_SPECIES
Sb 121.76 Sb.upf
Ru 101.07 Ru.upf
Mo 95.94 Mo.upf
CELL_PARAMETERS angstrom
-1.174 2.050 4.405
-2.416 -2.054 0.312
2.824 -2.997 2.148
ATOMIC_POSITIONS angstrom
Sb -0.768 -0.514 2.871
Sb 0.692 -4.775 2.407
Ru -0.623 -2.977 4.056
Mo 0.544 -2.309 1.220
! - E_form (uncorrected) (eV per atom) = 0.16
! - DFT total energy (eV/atom) = -6.925

=====

! HoPaCu (GGA-PBE, optimized geometry); values from VASP
&SYSTEM
  ibrav = 0, nat = 3, ntyp = 3
/
ATOMIC_SPECIES
Ho 164.93 Ho.upf
Pa 231.04 Pa.upf
Cu 63.55 Cu.upf
CELL_PARAMETERS angstrom
3.281 0.000 0.000
0.000 3.281 0.000
-1.640 -1.640 6.325
ATOMIC_POSITIONS angstrom
Ho 0.000 0.000 0.243
Pa 0.000 0.000 3.984
Cu 1.640 1.640 2.098
! - formation enthalpy at 0 K (eV/atom) = 0.087
! - DFT total energy (eV/atom) = -5.969

=====

! YBi3I (GGA-PBE, optimized geometry); values from VASP
&SYSTEM
  ibrav = 0, nat = 5, ntyp = 3
/
ATOMIC_SPECIES
Bi 208.98 Bi.upf
Y 88.91 Y.upf
I 126.90 I.upf
CELL_PARAMETERS angstrom
-2.738 -4.209 -2.979
4.169 -3.792 1.527
-3.036 -1.411 4.784
ATOMIC_POSITIONS angstrom
Bi 2.084 -1.896 0.764
Bi -1.369 -2.105 -1.489
Bi -1.518 -0.705 2.392
Y -0.802 -4.706 1.666
I 0.000 0.000 0.000
! - E_form (uncorrected) (eV per atom) = 0.67
! - DFT total energy (eV/atom) = -3.258

=====

! V7Re3Os2 (GGA-PBE, optimized geometry); values from VASP
&SYSTEM
  ibrav = 0, nat = 12, ntyp = 3
/
ATOMIC_SPECIES
V 50.94 V.upf
Os 190.23 Os.upf
Re 186.21 Re.upf
CELL_PARAMETERS angstrom
-1.949 3.657 0.762
-2.634 -1.964 2.690
7.761 2.820 6.309
ATOMIC_POSITIONS angstrom
V 0.008 2.109 1.548
V 5.517 1.573 6.554
V 3.170 2.404 8.213
V -0.391 -0.718 2.445
V 0.000 0.000 0.000
V 1.448 -0.193 4.630
V 3.678 1.049 4.369
Os 1.923 0.548 2.284
Os 3.204 0.307 6.715
Re 3.556 3.121 5.762
Re -0.378 1.392 3.999
Re -2.292 0.846 1.726
! - formation enthalpy at 0 K (eV/atom) = 0.070
! - DFT total energy (eV/atom) = -10.233

=====

! La4Te2PtN2 (GGA-PBE, optimized geometry); values from VASP
&SYSTEM
  ibrav = 0, nat = 9, ntyp = 4
/
ATOMIC_SPECIES
Te 127.60 Te.upf
La 138.91 La.upf
N 14.01 N.upf
Pt 195.08 Pt.upf
CELL_PARAMETERS angstrom
-4.041 -0.088 -1.147
-1.269 -5.756 4.913
0.821 7.103 4.257
ATOMIC_POSITIONS angstrom
Te -0.983 -1.237 3.560
Te -3.506 2.495 4.464
La -0.709 2.097 2.335
La -1.405 5.159 4.555
La -3.780 -0.839 5.688
La -3.083 -3.900 3.469
N -3.681 -3.234 5.522
N -0.808 4.493 2.501
Pt 0.000 0.000 0.000
! - E_form (uncorrected) (eV per atom) = -1.47
! - DFT total energy (eV/atom) = -6.879

=====

> Which of these has the lowest DFT total energy?

V7Re3Os2

=====

> What is the DFT total energy in the first record?

-1.782 eV/atom

=====

> Number 8 is which compound?

La4Te2PtN2